Below is a relaxed structure of Ba2TaRu, with properties calculated at the PBE level.

Geometry as CIF:
```
data_Ba2TaRu
_space_group_name_H-M_alt 'R -3 m'
_space_group_IT_number 166
_space_group_name_Hall '-R 3 2"'
_cell_length_a 3.4483
_cell_length_b 3.4483
_cell_length_c 31.5176
_cell_angle_alpha 90.00
_cell_angle_beta 90.00
_cell_angle_gamma 120.00
loop_
_atom_site_label
_atom_site_type_symbol
_atom_site_fract_x
_atom_site_fract_y
_atom_site_fract_z
Ba1 Ba 0.0000 0.0000 0.2415
Ta1 Ta 0.0000 0.0000 0.0000
Ru1 Ru 0.0000 0.0000 0.5000
```

Values from the calculation:
For the formation energy, the calculation gives 5.27 eV/f.u. For the relative energy among the computed polymorphs, the calculation gives 1.056 eV per atom. The size of the total moment comes out at 1.16 μB per formula unit. As for the density: 8.54 g cm⁻³.